Entry from the Alexandria database: a relaxed Mn2BeAg crystal (GGA-PBE).

Output
* energy relative to the elements: 341 meV/atom
* energy: -5.89 eV per atom
* size of the total moment: 1.508 μB/atom

Geometry as CIF:
```
data_Mn2BeAg
_symmetry_space_group_name_H-M 'R -3 m'
_symmetry_Int_Tables_number 166
_symmetry_space_group_name_Hall '-R 3 2"'
_cell_length_a 2.7438
_cell_length_b 2.7438
_cell_length_c 24.6080
_cell_angle_alpha 90.00
_cell_angle_beta 90.00
_cell_angle_gamma 120.00
loop_
_atom_site_label
_atom_site_type_symbol
_atom_site_fract_x
_atom_site_fract_y
_atom_site_fract_z
Mn1 Mn 0.0000 0.0000 0.2374
Be1 Be 0.0000 0.0000 0.5000
Ag1 Ag 0.0000 0.0000 0.0000
```

Entry from the Alexandria database: a relaxed MnBeAg crystal (GGA-PBE).

Output
* energy relative to the elements: 353 meV/atom
* energy: -4.90 eV per atom
* size of the total moment: 1.156 μB/atom

Geometry as CIF:
```
data_MnBeAg
_symmetry_space_group_name_H-M 'P 3 m 1'
_symmetry_Int_Tables_number 156
_cell_length_a 2.8056
_cell_length_b 2.8056
_cell_length_c 6.0659
_cell_angle_alpha 90.00
_cell_angle_beta 90.00
_cell_angle_gamma 120.00
loop_
_symmetry_equiv_pos_as_xyz
'x,y,z'
'-y,x-y,z'
'-x+y,-x,z'
'-y,-x,z'
'-x+y,y,z'
'x,x-y,z'
loop_
_atom_site_label
_atom_site_type_symbol
_atom_site_fract_x
_atom_site_fract_y
_atom_site_fract_z
Mn1 Mn 0.0000 0.0000 0.0000
Be1 Be 0.3333 0.6667 0.7096
Ag1 Ag 0.6667 0.3333 0.3895
```

no.,ρ (g cm⁻³)
1,7.04
2,6.90